Entry 1:
Compound: ErTm2Ag2
Source: Alexandria via LeMat-Bulk
Functional: PBE-GGA
Structure: optimized geometry

magnetization: 0.00 μB per formula unit
ΔH_f (0 K): -121.6 kJ/mol of formula units
crystal system: monoclinic
space group: P2_1/m (11)
excess energy over the best structure of this formula in the dataset: 0.0 meV/atom

POSCAR file:
```
ErTm2Ag2
1.0
3.579 0.000 0.000
0.000 5.184 0.000
-1.789 0.000 13.271
Er Tm Ag
2 4 4
direct
0.146 0.250 0.292
0.854 0.750 0.708
0.047 0.750 0.095
0.234 0.750 0.468
0.766 0.250 0.532
0.953 0.250 0.905
0.358 0.250 0.716
0.453 0.750 0.905
0.547 0.250 0.095
0.642 0.750 0.284
```

Entry 2:
Compound: SnTeMo3
Source: Alexandria via LeMat-Bulk
Functional: PBE-GGA
Structure: optimized geometry

magnetization: 0.98 μB per formula unit
raw formation energy: 38.38 kcal/mol of atoms
crystal system: cubic
space group: Pm-3m (221)
excess energy over the best structure of this formula in the dataset: 0.0 meV/atom

POSCAR file:
```
SnTeMo3
1.0
4.895 0.000 0.000
0.000 4.895 0.000
0.000 0.000 4.895
Sn Te Mo
1 1 3
direct
0.000 0.000 0.000
0.500 0.500 0.500
0.000 0.500 0.500
0.500 0.000 0.500
0.500 0.500 0.000
```

Entry 3:
Compound: ScTlC2
Source: Alexandria via LeMat-Bulk
Functional: PBE-GGA
Structure: optimized geometry

magnetization: 0.00 μB per formula unit
ΔH_f (0 K): 588.7 kJ/mol of formula units
crystal system: cubic
space group: Fm-3m (225)
excess energy over the best structure of this formula in the dataset: 258.4 meV/atom

POSCAR file:
```
ScTlC2
1.0
6.019 0.000 0.000
0.000 6.019 0.000
0.000 0.000 6.019
Sc Tl C
4 4 8
direct
0.000 0.000 0.000
0.000 0.500 0.500
0.500 0.000 0.500
0.500 0.500 0.000
0.000 0.000 0.500
0.000 0.500 0.000
0.500 0.000 0.000
0.500 0.500 0.500
0.250 0.250 0.250
0.250 0.250 0.750
0.250 0.750 0.250
0.250 0.750 0.750
0.750 0.250 0.250
0.750 0.250 0.750
0.750 0.750 0.250
0.750 0.750 0.750
```

Entry 4:
Compound: Ca2Ga2Pb
Source: Alexandria via LeMat-Bulk
Functional: PBE-GGA
Structure: optimized geometry

magnetization: 0.00 μB per formula unit
ΔH_f (0 K): -93.0 kJ/mol of formula units
crystal system: tetragonal
space group: P4/mbm (127)
excess energy over the best structure of this formula in the dataset: 268.6 meV/atom

POSCAR file:
```
Ca2Ga2Pb
1.0
8.683 0.000 0.000
0.000 8.683 0.000
0.000 0.000 3.670
Ca Ga Pb
4 4 2
direct
0.176 0.324 0.000
0.324 0.824 0.000
0.676 0.176 0.000
0.824 0.676 0.000
0.118 0.618 0.500
0.382 0.118 0.500
0.618 0.882 0.500
0.882 0.382 0.500
0.000 0.000 0.000
0.500 0.500 0.000
```

Entry 5:
Compound: Dy5Cd2Au2
Source: Alexandria via LeMat-Bulk
Functional: PBE-GGA
Structure: optimized geometry

magnetization: 0.00 μB per formula unit
ΔH_f (0 K): -398.3 kJ/mol of formula units
crystal system: orthorhombic
space group: Cmce (64)

POSCAR file:
```
Dy5Cd2Au2
1.0
8.546 -3.801 0.000
8.546 3.801 0.000
0.000 0.000 7.406
Dy Cd Au
10 4 4
direct
0.000 0.000 0.000
0.050 0.690 0.672
0.190 0.550 0.172
0.310 0.950 0.672
0.450 0.810 0.172
0.500 0.500 0.500
0.550 0.190 0.828
0.690 0.050 0.328
0.810 0.450 0.828
0.950 0.310 0.328
0.222 0.222 0.000
0.278 0.278 0.500
0.722 0.722 0.500
0.778 0.778 0.000
0.136 0.864 0.369
0.364 0.636 0.869
0.636 0.364 0.131
0.864 0.136 0.631
```